DFT (PBE) results for a geometry-optimized Pr2HgTe structure.

a b c (Å): 4.0157 4.0157 7.2750
angles (deg): 90.00 90.00 90.00
Element x y z (fractional)
Pr1 0.0000 0.0000 0.7494
Pr2 0.0000 0.0000 0.2506
Hg1 0.5000 0.5000 0.0000
Te1 0.5000 0.5000 0.5000

raw formation energy: -0.857 eV per atom
symmetry: P4/mmm, No. 123

***

DFT (PBE) results for a geometry-optimized UC2 structure.

a b c (Å): 3.8850 3.8850 3.8850
angles (deg): 126.10 126.10 79.72
Each line ends with the local moment (μB).
Element x y z (fractional)
U1 0.0000 0.0000 0.0000  0.38
C1 0.3844 0.3844 0.0000  -0.01
C2 0.6156 0.6156 0.0000  -0.01

formation energy from the elements: -2.62 kcal/mol of atoms
symmetry: I4/mmm, No. 139

***

DFT (PBE) results for a geometry-optimized Ho3Cu2Ir structure.

a b c (Å): 4.1853 11.1297 11.4420
angles (deg): 90.00 90.00 90.00
Element x y z (fractional)
Ho1 0.7500 0.6258 0.9521
Ho2 0.7500 0.5548 0.6176
Ho3 0.2500 0.3742 0.0479
Ho4 0.7500 0.9452 0.1176
Ho5 0.2500 0.0548 0.8824
Ho6 0.7500 0.2053 0.2710
Ho7 0.7500 0.2947 0.7710
Ho8 0.2500 0.4452 0.3824
Ho9 0.7500 0.8742 0.4521
Ho10 0.2500 0.1258 0.5479
Ho11 0.2500 0.7053 0.2290
Ho12 0.2500 0.7947 0.7290
Cu1 0.2500 0.5057 0.8087
Cu2 0.2500 0.6950 0.4941
Cu3 0.7500 0.3050 0.5059
Cu4 0.7500 0.1950 0.0059
Cu5 0.7500 0.0057 0.6913
Cu6 0.2500 0.8050 0.9941
Cu7 0.2500 0.9943 0.3087
Cu8 0.7500 0.4943 0.1913
Ir1 0.2500 0.1280 0.1242
Ir2 0.7500 0.6280 0.3758
Ir3 0.2500 0.3720 0.6242
Ir4 0.7500 0.8720 0.8758

formation energy from the elements: -10.06 kcal/mol of atoms
symmetry: Pnma, No. 62

***

DFT (PBE) results for a geometry-optimized CePmTlSn structure.

a b c (Å): 5.4793 5.4793 5.4793
angles (deg): 60.00 60.00 60.00
Each line ends with the local moment (μB).
Element x y z (fractional)
Pm1 0.5000 0.5000 0.5000  0.10
Sn1 0.2500 0.2500 0.2500  0.00
Tl1 0.7500 0.7500 0.7500  0.01
Ce1 0.0000 0.0000 0.0000  0.92

formation energy from the elements: -10.21 kcal/mol of atoms
symmetry: F-43m, No. 216

***

DFT (PBE) results for a geometry-optimized La5Pr5Sm structure.

a b c (Å): 6.3757 6.3757 11.7163
angles (deg): 90.00 90.00 120.00
Element x y z (fractional)
La1 0.0000 0.0000 0.0000
La2 0.3333 0.6667 0.3207
La3 0.6667 0.3333 0.8444
La4 0.3333 0.6667 0.6793
La5 0.6667 0.3333 0.1556
Pr1 0.3399 0.1699 0.5000
Pr2 0.0000 0.0000 0.7360
Pr3 0.8301 0.1699 0.5000
Pr4 0.0000 0.0000 0.2640
Pr5 0.8301 0.6601 0.5000
Sm1 0.3333 0.6667 0.0000

formation energy from the elements: 5.75 kcal/mol of atoms
symmetry: P-6m2, No. 187

***

DFT (PBE) results for a geometry-optimized KSi2Pd2 structure.

a b c (Å): 4.5679 4.5679 6.3220
angles (deg): 103.48 103.48 102.59
Element x y z (fractional)
K1 0.0000 0.0000 0.0000
Pd1 0.2014 0.7986 0.5000
Pd2 0.7986 0.2014 0.5000
Si1 0.6388 0.6388 0.3908
Si2 0.3612 0.3612 0.6092

raw formation energy: -0.416 eV per atom
symmetry: C2/m, No. 12